An optimized crystal structure of ZnHg2P, computed with PBE.

The calculated formation energy comes out at 0.4022 eV/atom. The energy comes out at -11.36 eV per cell. Its crystal system is orthorhombic. The volume is 21.2 Å³/atom.

It has space group Immm (No. 71), with a = 3.127 Å, b = 5.924 Å, c = 9.142 Å, α = 90.00°, β = 90.00° and γ = 90.00°. The asymmetric unit holds Zn at (0.000, 0.000, 0.000), Hg at (0.000, 0.500, 0.253) and P at (0.000, 0.000, 0.500).